Computed, not measured: an optimized crystal structure of TiBRh2 at the PBE level of DFT.

Space-group type: I-42d, No. 122
E_form in eV per atom: -0.41
Spin magnetization in μB/cell: 0.0
E in Ry/atom: -0.5682

a = 6.650 Å, b = 6.650 Å, c = 5.306 Å
α = 51.19°, β = 51.19°, γ = 90.00°
Fractional positions:
B  0.500  0.500  0.000
B  0.250  0.750  0.500
Rh  0.523  0.125  0.250
Rh  0.227  0.625  0.250
Rh  0.375  0.477  0.750
Rh  0.875  0.773  0.750
Ti  0.000  0.000  0.000
Ti  0.750  0.250  0.500